Record 1
A plane-wave DFT calculation with PBE was carried out for an optimized crystal structure of Pm2TmTlN.

```
data_Pm2TmTlN
_cell_length_a 5.004
_cell_length_b 5.004
_cell_length_c 4.736
_cell_angle_alpha 90.00
_cell_angle_beta 90.00
_cell_angle_gamma 90.00
_symmetry_space_group_name_H-M 'P 4/m m m'
_symmetry_Int_Tables_number 123
_symmetry_space_group_name_Hall '-P 4 2'
loop_
_atom_site_label
_atom_site_fract_x
_atom_site_fract_y
_atom_site_fract_z
Pm1 0.000 0.500 0.000
Tm1 0.000 0.000 0.500
Tl1 0.500 0.500 0.500
N1 0.000 0.000 0.000
```

Values from the calculation:
The value obtained for the density is 9.482 g cm⁻³. As for the crystal system: tetragonal. The uncorrected formation energy comes out at -0.8756 eV/atom. The density of states at the Fermi level is 2.26 states/eV per cell.

=====

Record 2
A plane-wave DFT calculation with PBE was carried out for an optimized crystal structure of PmY2TlN.

```
data_PmY2TlN
_cell_length_a 4.843
_cell_length_b 4.843
_cell_length_c 4.984
_cell_angle_alpha 90.00
_cell_angle_beta 90.00
_cell_angle_gamma 90.00
_symmetry_space_group_name_H-M 'P 4/m m m'
_symmetry_Int_Tables_number 123
_symmetry_space_group_name_Hall '-P 4 2'
loop_
_atom_site_label
_atom_site_fract_x
_atom_site_fract_y
_atom_site_fract_z
Pm1 0.000 0.000 0.000
Y1 0.000 0.500 0.500
Tl1 0.500 0.500 0.000
N1 0.000 0.000 0.500
```

Values from the calculation:
The value obtained for the density is 7.689 g cm⁻³. As for the crystal system: tetragonal. The uncorrected formation energy comes out at -0.9157 eV/atom. The density of states at the Fermi level is 2.47 states/eV per cell.

=====

Which value of density does entry 1 give?
9.482 g cm⁻³